16
Lattice="6.5352 0.0000 0.0000 0.0000 6.5352 0.0000 0.0000 0.0000 6.5352" Properties=species:S:1:pos:R:3 comment="LiYGaRh, relaxed, DFT PBE" sg="F-43m, No. 216" final_energy_ev_per_atom=-5.252 pbc="T T T"
Li 0.0000 0.0000 0.0000
Li 0.0000 3.2676 3.2676
Li 3.2676 0.0000 3.2676
Li 3.2676 3.2676 0.0000
Y 1.6338 1.6338 4.9014
Y 1.6338 4.9014 1.6338
Y 4.9014 1.6338 1.6338
Y 4.9014 4.9014 4.9014
Ga 1.6338 1.6338 1.6338
Ga 1.6338 4.9014 4.9014
Ga 4.9014 1.6338 4.9014
Ga 4.9014 4.9014 1.6338
Rh 0.0000 0.0000 3.2676
Rh 0.0000 3.2676 0.0000
Rh 3.2676 0.0000 0.0000
Rh 3.2676 3.2676 3.2676